# 1
Below is crystalline LaMnNiP2 at its relaxed geometry, with properties calculated at the GGA-PBE level.

Lattice parameters (Å, degrees): 3.765 3.765 6.335 107.29 107.29 90.00
Fractional positions:
Mn 0.750 0.250 0.500
Ni 0.250 0.750 0.500
La 0.000 0.000 0.000
P 0.356 0.356 0.711
P 0.644 0.644 0.289

Summary:
ΔH_f (0 K), eV per formula unit: -4.82

***

# 2
Below is crystalline La2MnNi3P4 at its relaxed geometry, with properties calculated at the GGA-PBE level.

Lattice parameters (Å, degrees): 4.113 4.113 9.397 90.00 90.00 90.00
Fractional positions:
P 0.000 0.500 0.367
P 0.500 0.000 0.633
P 0.000 0.000 0.000
P 0.500 0.500 0.000
Ni 0.000 0.500 0.110
Ni 0.000 0.000 0.500
Ni 0.500 0.000 0.890
La 0.500 0.000 0.241
La 0.000 0.500 0.759
Mn 0.500 0.500 0.500

Summary:
ΔH_f (0 K), eV per formula unit: -9.59

***

# 3
Below is crystalline La2MnNi3Pt12 at its relaxed geometry, with properties calculated at the GGA-PBE level.

Lattice parameters (Å, degrees): 9.453 9.453 9.453 41.81 41.81 41.81
Fractional positions:
Ni 0.000 0.000 0.500
Ni 0.000 0.500 0.000
Ni 0.500 0.000 0.000
La 0.658 0.658 0.658
La 0.342 0.342 0.342
Pt 0.185 0.587 0.587
Pt 0.930 0.930 0.350
Pt 0.587 0.185 0.587
Pt 0.587 0.587 0.185
Pt 0.930 0.350 0.930
Pt 0.413 0.815 0.413
Pt 0.070 0.650 0.070
Pt 0.650 0.070 0.070
Pt 0.350 0.930 0.930
Pt 0.070 0.070 0.650
Pt 0.815 0.413 0.413
Pt 0.413 0.413 0.815
Mn 0.000 0.000 0.000

Summary:
ΔH_f (0 K), eV per formula unit: -2.75

***

# 4
Below is crystalline LaMnReNi2 at its relaxed geometry, with properties calculated at the GGA-PBE level.

Lattice parameters (Å, degrees): 4.679 4.547 4.679 90.00 90.00 90.00
Fractional positions:
Ni 0.500 0.000 0.000
Ni 0.000 0.000 0.500
Re 0.000 0.000 0.000
La 0.500 0.500 0.500
Mn 0.000 0.500 0.000

Summary:
ΔH_f (0 K), eV per formula unit: 2.51

***

# 5
Below is crystalline LaMn2NiRu at its relaxed geometry, with properties calculated at the GGA-PBE level.

Lattice parameters (Å, degrees): 4.811 5.187 4.811 90.00 90.00 90.00
Fractional positions:
La 0.000 0.500 0.000
Mn 0.000 0.000 0.500
Mn 0.500 0.000 0.000
Ru 0.000 0.000 0.000
Ni 0.500 0.500 0.500

Summary:
ΔH_f (0 K), eV per formula unit: 4.23

***

# 6
Below is crystalline La2MnNi3Sb4 at its relaxed geometry, with properties calculated at the GGA-PBE level.

Lattice parameters (Å, degrees): 4.537 4.537 10.273 90.00 90.00 90.00
Fractional positions:
Ni 0.500 0.000 0.882
Ni 0.000 0.000 0.500
Ni 0.000 0.500 0.118
Sb 0.000 0.500 0.365
Sb 0.500 0.000 0.635
Sb 0.000 0.000 0.000
Sb 0.500 0.500 0.000
La 0.500 0.000 0.249
La 0.000 0.500 0.751
Mn 0.500 0.500 0.500

Summary:
E_form (uncorrected), eV per atom: -0.62

***

# 7
Below is crystalline LaMnSiNi6 at its relaxed geometry, with properties calculated at the GGA-PBE level.

Lattice parameters (Å, degrees): 6.220 8.448 7.238 125.70 115.45 90.00
Fractional positions:
Ni 0.925 0.635 0.245
Ni 0.075 0.365 0.755
Ni 0.679 0.365 0.755
Ni 0.925 0.111 0.245
Ni 0.075 0.889 0.755
Ni 0.321 0.111 0.245
Ni 0.974 0.224 0.948
Ni 0.569 0.819 0.138
Ni 0.431 0.181 0.862
Ni 0.321 0.635 0.245
Ni 0.026 0.776 0.052
Ni 0.679 0.889 0.755
La 0.266 0.516 0.531
La 0.734 0.484 0.469
Mn 0.000 0.000 0.500
Mn 0.500 0.000 0.500
Si 0.500 0.000 0.000
Si 0.500 0.500 0.000

Summary:
E_form (uncorrected), eV per atom: 0.03

***

# 8
Below is crystalline La2MnNiTe at its relaxed geometry, with properties calculated at the GGA-PBE level.

Lattice parameters (Å, degrees): 5.606 4.269 5.606 90.00 90.00 90.00
Fractional positions:
La 0.500 0.000 0.000
La 0.000 0.000 0.500
Te 0.500 0.500 0.500
Ni 0.000 0.000 0.000
Mn 0.000 0.500 0.000

Summary:
E_form (uncorrected), eV per atom: -0.14

***

# 9
Below is crystalline La2MnZn3Ni12 at its relaxed geometry, with properties calculated at the GGA-PBE level.

Lattice parameters (Å, degrees): 9.222 9.222 9.222 38.56 38.56 38.56
Fractional positions:
Ni 0.422 0.422 0.812
Ni 0.933 0.933 0.346
Ni 0.578 0.578 0.188
Ni 0.067 0.654 0.067
Ni 0.812 0.422 0.422
Ni 0.933 0.346 0.933
Ni 0.654 0.067 0.067
Ni 0.578 0.188 0.578
Ni 0.188 0.578 0.578
Ni 0.067 0.067 0.654
Ni 0.422 0.812 0.422
Ni 0.346 0.933 0.933
Zn 0.000 0.000 0.500
Zn 0.000 0.500 0.000
Zn 0.500 0.000 0.000
La 0.343 0.343 0.343
La 0.657 0.657 0.657
Mn 0.000 0.000 0.000

Summary:
ΔH_f (0 K), eV per formula unit: 1.86

***

# 10
Below is crystalline LaNpMn at its relaxed geometry, with properties calculated at the GGA-PBE level.

Lattice parameters (Å, degrees): 5.788 6.272 7.969 71.92 90.00 90.00
Fractional positions:
La 0.754 0.427 0.396
La 0.746 0.427 0.896
La 0.246 0.573 0.604
La 0.254 0.573 0.104
Mn 0.799 0.883 0.538
Mn 0.299 0.117 0.962
Mn 0.701 0.883 0.038
Mn 0.201 0.117 0.462
Np 0.059 0.014 0.793
Np 0.441 0.014 0.293
Np 0.941 0.986 0.207
Np 0.559 0.986 0.707

Summary:
ΔH_f (0 K), eV per formula unit: 0.42

***

no.,total energy (eV/atom),DOS(E_F) (states/eV per atom)
1,-7.103,0.6117
2,-6.760,0.4482
3,-6.200,1.0750
4,-7.119,1.2190
5,-6.818,0.8383
6,-5.909,0.4824
7,-5.995,0.7756
8,-5.733,1.7214
9,-5.020,0.8380
10,-8.873,1.7508